[1]
A plane-wave DFT calculation with PBE-GGA was carried out for crystalline ZrNi3Hg at its relaxed geometry.

The structure belongs to space group Pm-3m (No. 221); the cell edges are 4.638, 4.638 and 4.638 Å and the angles 90.00°, 90.00° and 90.00°. The asymmetric unit holds Zr at (0.000, 0.000, 0.000), Ni at (0.000, 0.500, 0.500) and Hg at (0.500, 0.500, 0.500).

As for the calculated formation energy: 1066 meV per atom. The calculated density comes out at 7.79 g/cm3. As for the total energy: -20.87 eV/cell.

***

[2]
A plane-wave DFT calculation with PBE-GGA was carried out for crystalline NpHg at its relaxed geometry.

The structure belongs to space group P2_1/m (No. 11); the cell edges are 3.608, 3.585 and 6.896 Å and the angles 90.00°, 95.67° and 90.00°. The asymmetric unit holds Np at (0.165, 0.250, 0.084) and Hg at (0.278, 0.250, 0.622).

As for the calculated formation energy: 132 meV per atom. The calculated density comes out at 16.37 g/cm3. As for the total energy: -25.96 eV/cell.

***

[3]
A plane-wave DFT calculation with PBE-GGA was carried out for crystalline NpHg3 at its relaxed geometry.

The structure belongs to space group Pmm2 (No. 25); the cell edges are 3.056, 5.301 and 6.075 Å and the angles 90.00°, 90.00° and 90.00°. The asymmetric unit holds Np at (0.000, 0.000, 0.000), Hg at (0.000, 0.500, 0.696), Hg at (0.500, 0.000, 0.494) and Hg at (0.500, 0.500, 0.197).

As for the calculated formation energy: 157 meV per atom. The calculated density comes out at 14.15 g/cm3. As for the total energy: -13.22 eV/cell.

***

[4]
A plane-wave DFT calculation with PBE-GGA was carried out for crystalline Np3Hg at its relaxed geometry.

The structure belongs to space group I4/mmm (No. 139); the cell edges are 4.540, 4.540 and 9.323 Å and the angles 90.00°, 90.00° and 90.00°. The asymmetric unit holds Np at (0.000, 0.000, 0.000), Np at (0.000, 0.500, 0.250) and Hg at (0.000, 0.000, 0.500).

As for the calculated formation energy: 552 meV per atom. The calculated density comes out at 15.76 g/cm3. As for the total energy: -73.83 eV/cell.

***

[5]
A plane-wave DFT calculation with PBE-GGA was carried out for crystalline NpHg3 at its relaxed geometry.

The structure belongs to space group Pm-3m (No. 221); the cell edges are 4.681, 4.681 and 4.681 Å and the angles 90.00°, 90.00° and 90.00°. The asymmetric unit holds Np at (0.000, 0.000, 0.000) and Hg at (0.000, 0.500, 0.500).

As for the calculated formation energy: 166 meV per atom. The calculated density comes out at 13.58 g/cm3. As for the total energy: -13.18 eV/cell.

***

[6]
A plane-wave DFT calculation with PBE-GGA was carried out for crystalline NpHg5 at its relaxed geometry.

The structure belongs to space group Cmmm (No. 65); the cell edges are 4.549, 13.688 and 4.853 Å and the angles 90.00°, 90.00° and 90.00°. The asymmetric unit holds Np at (0.000, 0.000, 0.000), Hg at (0.000, 0.164, 0.500), Hg at (0.000, 0.330, 0.000) and Hg at (0.000, 0.500, 0.500).

As for the calculated formation energy: 94 meV per atom. The calculated density comes out at 13.63 g/cm3. As for the total energy: -27.77 eV/cell.

***

[7]
A plane-wave DFT calculation with PBE-GGA was carried out for crystalline NpHg2 at its relaxed geometry.

The structure belongs to space group Fd-3m (No. 227, origin choice 2); the cell edges are 8.404, 8.404 and 8.404 Å and the angles 90.00°, 90.00° and 90.00°. The asymmetric unit holds Np at (0.125, 0.125, 0.125) and Hg at (0.000, 0.000, 0.500).

As for the calculated formation energy: 311 meV per atom. The calculated density comes out at 14.28 g/cm3. As for the total energy: -100.89 eV/cell.

***

[8]
A plane-wave DFT calculation with PBE-GGA was carried out for crystalline NpHg2 at its relaxed geometry.

The structure belongs to space group I4/mmm (No. 139); the cell edges are 3.165, 3.165 and 14.270 Å and the angles 90.00°, 90.00° and 90.00°. The asymmetric unit holds Np at (0.000, 0.000, 0.000) and Hg at (0.000, 0.000, 0.332).

As for the calculated formation energy: 172 meV per atom. The calculated density comes out at 14.83 g/cm3. As for the total energy: -26.06 eV/cell.

***

[9]
A plane-wave DFT calculation with PBE-GGA was carried out for crystalline NpHg3 at its relaxed geometry.

The structure belongs to space group I4/mmm (No. 139); the cell edges are 5.181, 5.181 and 7.283 Å and the angles 90.00°, 90.00° and 90.00°. The asymmetric unit holds Np at (0.000, 0.000, 0.000), Hg at (0.000, 0.000, 0.500) and Hg at (0.000, 0.500, 0.250).

As for the calculated formation energy: 149 meV per atom. The calculated density comes out at 14.25 g/cm3. As for the total energy: -26.50 eV/cell.

***

[10]
A plane-wave DFT calculation with PBE-GGA was carried out for crystalline NpHg3 at its relaxed geometry.

The structure belongs to space group Imm2 (No. 44); the cell edges are 2.994, 11.193 and 5.954 Å and the angles 90.00°, 90.00° and 90.00°. The asymmetric unit holds Np at (0.000, 0.000, 0.000), Hg at (0.000, 0.255, 0.687) and Hg at (0.000, 0.500, 0.004).

As for the calculated formation energy: 164 meV per atom. The calculated density comes out at 13.96 g/cm3. As for the total energy: -26.38 eV/cell.

***

[11]
A plane-wave DFT calculation with PBE-GGA was carried out for crystalline NpHg2O7 at its relaxed geometry.

The structure belongs to space group P-1 (No. 2); the cell edges are 6.793, 7.336 and 8.305 Å and the angles 87.22°, 76.47° and 83.28°. The asymmetric unit holds Np at (0.189, 0.099, 0.338), Hg at (0.249, 0.003, 0.823), Hg at (0.352, 0.625, 0.487), O at (0.047, 0.040, 0.165), O at (0.075, 0.477, 0.944), O at (0.110, 0.837, 0.485), O at (0.135, 0.405, 0.301), O at (0.309, 0.338, 0.191), O at (0.321, 0.147, 0.500) and O at (0.455, 0.968, 0.198).

The energy relative to the elements, uncorrected comes out at -1.136 eV/atom. The calculated density comes out at 6.24 g/cm3. As for the total energy: -119.22 eV/cell.

***

[12]
A plane-wave DFT calculation with PBE-GGA was carried out for crystalline NpHg5O8 at its relaxed geometry.

The structure belongs to space group C2/m (No. 12); the cell edges are 11.401, 7.012 and 7.792 Å and the angles 90.00°, 124.11° and 90.00°. The asymmetric unit holds Np at (0.000, 0.000, 0.000), Hg at (0.000, 0.000, 0.500), Hg at (0.061, 0.500, 0.848), Hg at (0.250, 0.250, 0.500), O at (0.030, 0.213, 0.817), O at (0.198, 0.000, 0.201) and O at (0.222, 0.000, 0.630).

The energy relative to the elements, uncorrected comes out at -0.925 eV/atom. The calculated density comes out at 8.81 g/cm3. As for the total energy: -134.14 eV/cell.

***

[13]
A plane-wave DFT calculation with PBE-GGA was carried out for crystalline Np2Hg2O7 at its relaxed geometry.

The structure belongs to space group Fd-3m (No. 227, origin choice 2); the cell edges are 11.206, 11.206 and 11.206 Å and the angles 90.00°, 90.00° and 90.00°. The asymmetric unit holds Np at (0.000, 0.000, 0.000), Hg at (0.000, 0.000, 0.500), O at (0.063, 0.375, 0.375) and O at (0.125, 0.125, 0.625).

The energy relative to the elements, uncorrected comes out at -1.936 eV/atom. The calculated density comes out at 9.32 g/cm3. As for the total energy: -659.89 eV/cell.

***

[14]
A plane-wave DFT calculation with PBE-GGA was carried out for crystalline NpHg2O6 at its relaxed geometry.

The structure belongs to space group C2/c (No. 15); the cell edges are 14.735, 7.395 and 6.462 Å and the angles 90.00°, 92.05° and 90.00°. The asymmetric unit holds Np at (0.000, 0.105, 0.250), Hg at (0.216, 0.497, 0.042), O at (0.067, 0.075, 0.909), O at (0.082, 0.281, 0.341) and O at (0.219, 0.337, 0.789).

The energy relative to the elements, uncorrected comes out at -1.209 eV/atom. The calculated density comes out at 6.93 g/cm3. As for the total energy: -216.69 eV/cell.

***

[15]
A plane-wave DFT calculation with PBE-GGA was carried out for crystalline Np2HgO11 at its relaxed geometry.

The structure belongs to space group Cmmm (No. 65); the cell edges are 8.737, 10.401 and 5.342 Å and the angles 90.00°, 90.00° and 90.00°. The asymmetric unit holds Np at (0.250, 0.250, 0.000), Hg at (0.000, 0.000, 0.500), O at (0.000, 0.351, 0.000), O at (0.000, 0.500, 0.000) and O at (0.170, 0.140, 0.245).

The energy relative to the elements, uncorrected comes out at -1.231 eV/atom. The calculated density comes out at 5.82 g/cm3. As for the total energy: -195.91 eV/cell.

***

[16]
A plane-wave DFT calculation with PBE-GGA was carried out for crystalline NpHgO at its relaxed geometry.

The structure belongs to space group P6_3/mmc (No. 194); the cell edges are 3.8082, 3.8082 and 21.0873 Å and the angles 90.00°, 90.00° and 120.00°. The asymmetric unit holds Np at (0.3333, 0.6667, 0.1251), Hg at (0.0000, 0.0000, 0.0000), Hg at (0.0000, 0.0000, 0.2500) and O at (0.3333, 0.6667, 0.6260).

The energy relative to the elements, uncorrected comes out at -1.359 eV/atom. The calculated density comes out at 11.38 g/cm3. As for the total energy: -89.11 eV/cell.

***

[17]
A plane-wave DFT calculation with PBE-GGA was carried out for crystalline NpHg2O4 at its relaxed geometry.

The structure belongs to space group P-1 (No. 2); the cell edges are 3.458, 5.602 and 6.983 Å and the angles 97.53°, 100.78° and 101.99°. The asymmetric unit holds Np at (0.000, 0.000, 0.000), Hg at (0.318, 0.336, 0.591), O at (0.076, 0.905, 0.272) and O at (0.451, 0.774, 0.920).

The energy relative to the elements, uncorrected comes out at -1.638 eV/atom. The calculated density comes out at 9.11 g/cm3. As for the total energy: -44.84 eV/cell.

***

[18]
A plane-wave DFT calculation with PBE-GGA was carried out for crystalline NpHgO4 at its relaxed geometry.

The structure belongs to space group P2_1/c (No. 14); the cell edges are 7.037, 5.681 and 6.041 Å and the angles 90.00°, 114.77° and 90.00°. The asymmetric unit holds Np at (0.000, 0.000, 0.000), Hg at (0.500, 0.000, 0.500), O at (0.054, 0.241, 0.246) and O at (0.312, 0.592, 0.651).

The energy relative to the elements, uncorrected comes out at -1.922 eV/atom. The calculated density comes out at 7.60 g/cm3. As for the total energy: -89.21 eV/cell.

***

[19]
A plane-wave DFT calculation with PBE-GGA was carried out for crystalline NpHg2O5 at its relaxed geometry.

The structure belongs to space group C2/c (No. 15); the cell edges are 12.117, 5.332 and 8.383 Å and the angles 90.00°, 110.35° and 90.00°. The asymmetric unit holds Np at (0.000, 0.000, 0.000), Hg at (0.162, 0.453, 0.307), O at (0.000, 0.196, 0.250), O at (0.088, 0.273, 0.960) and O at (0.159, 0.184, 0.639).

The energy relative to the elements, uncorrected comes out at -1.456 eV/atom. The calculated density comes out at 9.39 g/cm3. As for the total energy: -199.93 eV/cell.

***

[20]
A plane-wave DFT calculation with PBE-GGA was carried out for crystalline NpHg3O8 at its relaxed geometry.

The structure belongs to space group Pm-3m (No. 221); the cell edges are 5.455, 5.455 and 5.455 Å and the angles 90.00°, 90.00° and 90.00°. The asymmetric unit holds Np at (0.000, 0.000, 0.000), Hg at (0.000, 0.500, 0.500) and O at (0.231, 0.231, 0.231).

The energy relative to the elements, uncorrected comes out at -0.664 eV/atom. The calculated density comes out at 9.89 g/cm3. As for the total energy: -61.48 eV/cell.